Sm6HgTe3Rh2 | PBE | optimized geometry

Output
Symmetry: C2/m, No. 12
Formation energy (no corrections), eV per atom: -0.97

Cell lengths 4.2061, 9.0623, 9.8095 Å; angles 105.94, 102.38, 90.00 degrees
Element x y z (fractional)
Sm: 0.3292 0.8787 0.6584
Sm: 0.6781 0.5659 0.3562
Sm: 0.6708 0.1213 0.3416
Sm: 0.0175 0.2603 0.0350
Sm: 0.9825 0.7397 0.9650
Sm: 0.3219 0.4341 0.6438
Hg: 0.5000 0.0000 0.0000
Te: 0.5000 0.5000 0.0000
Te: 0.8405 0.1622 0.6810
Te: 0.1595 0.8378 0.3190
Rh: 0.8311 0.6621 0.6621
Rh: 0.1689 0.3379 0.3379